[1]
# LiSc2Bi

A relaxed LiSc2Bi crystal (PBE, Alexandria).

a = 4.519 Å, b = 4.519 Å, c = 4.407 Å
α = 90.00°, β = 90.00°, γ = 90.00°
Atoms (fractional coordinates):
Li 0.000 0.000 0.000
Sc 0.000 0.500 0.500
Sc 0.500 0.000 0.500
Bi 0.500 0.500 0.000

[2]
# SrInAg2Br

A relaxed SrInAg2Br crystal (PBE, Alexandria).

Output
- Energy relative to the elements, uncorrected: 0.21 eV/atom

a = 5.310 Å, b = 5.310 Å, c = 6.093 Å
α = 90.00°, β = 90.00°, γ = 90.00°
Atoms (fractional coordinates):
Sr 0.000 0.000 0.000
In 0.500 0.500 0.000
Ag 0.000 0.500 0.500
Ag 0.500 0.000 0.500
Br 0.500 0.500 0.500

[3]
# TiVP2Pd

A relaxed TiVP2Pd crystal (PBE, Alexandria).

a = 4.636 Å, b = 4.636 Å, c = 4.634 Å
α = 90.00°, β = 90.00°, γ = 90.00°
Atoms (fractional coordinates):
Ti 0.000 0.000 0.000
V 0.500 0.500 0.000
P 0.000 0.500 0.500
P 0.500 0.000 0.500
Pd 0.500 0.500 0.500

[4]
# Zr2BeVHg

A relaxed Zr2BeVHg crystal (PBE, Alexandria).

a = 5.340 Å, b = 5.340 Å, c = 4.222 Å
α = 90.00°, β = 90.00°, γ = 90.00°
Atoms (fractional coordinates):
Zr 0.000 0.500 0.000
Zr 0.500 0.000 0.000
Be 0.000 0.000 0.500
V 0.500 0.500 0.500
Hg 0.000 0.000 0.000

Result set for total DFT energy (no corrections): -4.96 -2.15 -5.75 -4.87 eV per atom, one per record in the order listed.